Record 1
The following is a DFT calculation (PBE-GGA) of crystalline K3TcN3 at its relaxed geometry.

## Properties
* raw total energy: -5.763 eV per atom

Cell: 7.470 6.915 10.996 Å, 90.00 95.36 90.00°
Space group P2_1/c (No. 14)
Inequivalent atoms, fractional coordinates:
K: 0.047 0.106 0.156 [4 per cell]
K: 0.362 0.684 0.807 [4 per cell]
K: 0.365 0.182 0.927 [4 per cell]
Tc: 0.150 0.574 0.062 [4 per cell]
N: 0.107 0.061 0.403 [4 per cell]
N: 0.235 0.685 0.540 [4 per cell]
N: 0.290 0.061 0.673 [4 per cell]

***

Record 2
The following is a DFT calculation (PBE-GGA) of crystalline ErSc6 at its relaxed geometry.

## Properties
* energy of formation from the pure elements: 1.7 eV per formula unit
* energy relative to the lowest polymorph listed for this composition: 0 meV/atom

Cell: 6.036 6.036 10.108 Å, 90.00 90.00 90.00°
Space group P4/nbm (No. 125, origin choice 2)
Inequivalent atoms, fractional coordinates:
Er: 0.250 0.750 0.000 [2 per cell]
Sc: 0.082 0.582 0.363 [8 per cell]
Sc: 0.250 0.250 0.143 [4 per cell]

***

Record 3
The following is a DFT calculation (PBE-GGA) of crystalline CeTmGe at its relaxed geometry.

## Properties
* energy of formation from the pure elements: -1.0 eV per formula unit

Cell: 4.7524 4.7524 4.1178 Å, 90.00 90.00 120.00°
Space group P3m1 (No. 156)
Inequivalent atoms, fractional coordinates:
Ce: 0.0000 0.0000 0.0000 [1 per cell]
Tm: 0.3333 0.6667 0.4790 [1 per cell]
Ge: 0.6667 0.3333 0.5831 [1 per cell]

***

Record 4
The following is a DFT calculation (PBE-GGA) of crystalline K2CdSbF6 at its relaxed geometry.

## Properties
* raw total energy: -4.132 eV per atom

Cell: 6.461 6.493 6.509 Å, 90.10 119.67 119.84°
Space group P-1 (No. 2)
Inequivalent atoms, fractional coordinates:
K: 0.003 0.247 0.271 [2 per cell]
Cd: 0.500 0.500 0.000 [1 per cell]
Sb: 0.500 0.000 0.500 [1 per cell]
F: 0.045 0.783 0.164 [2 per cell]
F: 0.373 0.697 0.662 [2 per cell]
F: 0.381 0.176 0.675 [2 per cell]

***

Record 5
The following is a DFT calculation (PBE-GGA) of crystalline ScCdInRu at its relaxed geometry.

## Properties
* energy of formation from the pure elements: -0.6 eV per formula unit

Cell: 6.701 6.701 6.701 Å, 90.00 90.00 90.00°
Space group F-43m (No. 216)
Inequivalent atoms, fractional coordinates:
Sc: 0.000 0.000 0.000 [4 per cell]
Cd: 0.250 0.250 0.750 [4 per cell]
In: 0.000 0.000 0.500 [4 per cell]
Ru: 0.250 0.250 0.250 [4 per cell]

***

Record 6
The following is a DFT calculation (PBE-GGA) of crystalline Ac2AuN at its relaxed geometry.

## Properties
* energy relative to the lowest polymorph listed for this composition: 476 meV/atom

Cell: 3.527 3.527 7.548 Å, 90.00 90.00 90.00°
Space group P4/mmm (No. 123)
Inequivalent atoms, fractional coordinates:
Ac: 0.000 0.000 0.211 [2 per cell]
Au: 0.500 0.500 0.500 [1 per cell]
N: 0.500 0.500 0.000 [1 per cell]

***

Record 7
The following is a DFT calculation (PBE-GGA) of crystalline SrIn2W at its relaxed geometry.

## Properties
* energy of formation from the pure elements: 1.6 eV per formula unit
* energy relative to the lowest polymorph listed for this composition: 40 meV/atom

Cell: 3.625 3.625 7.366 Å, 90.00 90.00 90.00°
Space group P4/mmm (No. 123)
Inequivalent atoms, fractional coordinates:
Sr: 0.000 0.000 0.000 [1 per cell]
In: 0.500 0.500 0.304 [2 per cell]
W: 0.000 0.000 0.500 [1 per cell]

***

Record 8
The following is a DFT calculation (PBE-GGA) of crystalline AlCoCl2 at its relaxed geometry.

## Properties
* energy relative to the lowest polymorph listed for this composition: 352 meV/atom

Cell: 3.009 3.009 8.408 Å, 90.00 90.00 90.00°
Space group P4mm (No. 99)
Inequivalent atoms, fractional coordinates:
Al: 0.000 0.000 0.000 [1 per cell]
Co: 0.500 0.500 0.816 [1 per cell]
Cl: 0.000 0.000 0.647 [1 per cell]
Cl: 0.500 0.500 0.201 [1 per cell]